Rb3CuRu PBE relaxed; space group = Pm-3m (221); DFT formation energy = 1.123 eV/atom; excess energy over the best structure of this formula in the dataset = 0.000 eV per atom; crystal system = cubic; spin magnetization = 0.400 μB per atom
1.0
-5.122 -1.493 3.604
2.605 -5.737 1.325
2.904 2.512 5.168
Ru Cu Rb
1 1 3
Cartesian
0.000 0.000 0.000
0.194 -2.359 5.048
1.302 -2.868 0.662
1.452 1.256 2.584
-2.561 -0.747 1.802

***

YSi2 PBE relaxed; space group = P6_3/mmc (194); raw formation energy = -0.300 eV per formula unit; crystal system = hexagonal; spin magnetization = 0.000 μB per atom
1.0
0.817 0.199 4.877
-3.698 -2.766 -1.779
3.525 -4.449 -0.409
Y Si
2 4
Cartesian
0.193 -1.902 2.556
0.451 -5.115 0.133
0.000 0.000 0.000
1.763 -2.225 -0.205
-1.312 -2.890 0.337
1.956 -4.127 2.351

***

DyAl2GaAu4 PBE relaxed; space group = R-3m (166); DFT formation energy = -0.488 eV/atom; crystal system = trigonal; spin magnetization = 0.000 μB per atom
1.0
-0.705 3.707 2.204
1.470 0.421 4.093
8.229 4.804 -1.118
Dy Al Ga Au
1 2 1 4
Cartesian
0.000 0.000 0.000
6.676 6.669 3.913
2.319 2.263 1.267
4.497 4.466 2.590
7.039 5.559 1.564
3.744 5.409 5.095
5.250 3.523 0.084
1.955 3.373 3.615

***

Rb2AuF PBE relaxed; space group = Fm-3m (225); raw formation energy = -5.016 eV per formula unit; excess energy over the best structure of this formula in the dataset = 0.187 eV per atom; crystal system = cubic; spin magnetization = 0.000 μB per atom
1.0
-2.931 -4.391 -1.847
-3.986 0.721 -3.856
0.773 -1.887 -5.208
Au Rb F
1 2 1
Cartesian
-3.072 -2.778 -5.456
-1.536 -1.389 -2.728
-4.608 -4.167 -8.183
0.000 0.000 0.000

***

LaZn2Ru PBE relaxed; space group = Fm-3m (225); DFT formation energy = 0.012 eV/atom; crystal system = cubic; spin magnetization = 0.000 μB per atom
1.0
0.000 3.378 3.378
3.378 0.000 3.378
3.378 3.378 0.000
Ru Zn La
1 2 1
Cartesian
0.000 0.000 0.000
1.689 1.689 1.689
5.067 5.067 5.067
3.378 3.378 3.378

***

CaMo2Ru PBE relaxed; space group = Cm (8); DFT formation energy = 0.501 eV/atom; excess energy over the best structure of this formula in the dataset = 0.090 eV per atom; crystal system = monoclinic; spin magnetization = 0.000 μB per atom
1.0
5.076 0.002 0.001
4.147 2.928 0.001
1.573 0.500 5.156
Ru Mo Ca
1 2 1
Cartesian
5.261 1.671 2.953
1.758 0.558 4.745
8.094 2.571 3.857
2.653 0.843 1.336

***

KMnRu2I PBE relaxed; space group = P4/mmm (123); raw formation energy = 15.227 eV per formula unit; crystal system = tetragonal; spin magnetization = 0.060 μB per atom
1.0
-1.178 0.321 4.409
4.807 -2.750 1.484
2.198 4.002 0.296
I Ru K Mn
1 2 1 1
Cartesian
2.404 -1.375 0.742
1.099 2.001 0.148
-0.589 0.160 2.205
0.000 0.000 0.000
2.914 0.786 3.095

***

Ac12Tl6H PBE relaxed; space group = R-3 (148); energy = -70.11 eV for the cell shown; crystal system = trigonal; spin magnetization = 0.000 μB per atom
1.0
9.012 0.400 0.480
-0.970 8.968 0.480
-0.970 -1.131 8.910
Ac Tl H
12 6 1
Cartesian
6.267 4.973 4.773
2.814 6.772 5.746
3.966 3.455 7.689
0.804 3.265 5.095
4.257 1.466 4.123
3.105 4.783 2.179
8.260 0.770 3.219
7.562 6.550 1.145
5.328 -0.386 8.536
-1.189 7.468 6.650
-0.491 1.688 8.723
1.743 8.624 1.333
4.738 7.642 2.912
6.307 3.327 1.829
0.235 6.417 3.600
2.332 0.596 6.957
0.763 4.911 8.040
6.836 1.821 6.268
0.000 0.000 0.000